1.
Entry from Alexandria: a PBEsol-optimized structure of Gd2Ru2O7 (meta-GGA SCAN).

Calculated values
Symmetry   Fd-3m, No. 227
Formation energy from raw total energies   -26.31 eV per formula unit

a b c (Å): 7.1767 7.1767 7.1767
angles (deg): 60.00 60.00 60.00
Last column: nearest neighbours and their distance in Å.
Sites, in units of the cell vectors:
O  0.0431  0.4569  0.4569  2 Ru 1.98
O  0.7931  0.2069  0.2069  2 Ru 1.98
Gd  0.6250  0.1250  0.6250  2 O 2.20
O  0.0431  0.0431  0.4569  2 Ru 1.98
Gd  0.6250  0.6250  0.6250  2 O 2.20
O  0.0431  0.4569  0.0431  2 Ru 1.98
Ru  0.1250  0.1250  0.6250  6 O 1.98
O  0.2069  0.7931  0.2069  2 Ru 1.98
Gd  0.1250  0.6250  0.6250  2 O 2.20
O  0.5000  0.5000  0.5000  4 Gd 2.20
Ru  0.6250  0.1250  0.1250  6 O 1.98
O  0.7500  0.7500  0.7500  4 Gd 2.20
O  0.2069  0.2069  0.7931  2 Ru 1.98
Ru  0.1250  0.6250  0.1250  6 O 1.98
O  0.7931  0.7931  0.2069  2 Ru 1.98
O  0.4569  0.0431  0.0431  2 Ru 1.98
Ru  0.1250  0.1250  0.1250  6 O 1.98
O  0.4569  0.0431  0.4569  2 Ru 1.98
Gd  0.6250  0.6250  0.1250  2 O 2.20
O  0.2069  0.7931  0.7931  2 Ru 1.98
O  0.7931  0.2069  0.7931  2 Ru 1.98
O  0.4569  0.4569  0.0431  2 Ru 1.98

2.
Entry from Alexandria: a PBEsol-optimized structure of YNiIN2 (meta-GGA SCAN).

Calculated values
Symmetry   P4/mmm, No. 123
Formation energy from raw total energies   5.30 eV per formula unit

a b c (Å): 4.0849 4.0849 6.3255
angles (deg): 90.00 90.00 90.00
Last column: nearest neighbours and their distance in Å.
Sites, in units of the cell vectors:
N  0.0000  0.5000  0.0000  2 Y 2.04
I  0.5000  0.5000  0.5000  4 Ni 2.89
Ni  0.0000  0.0000  0.5000  4 I 2.89, 2 Y 3.16
Y  0.0000  0.0000  0.0000  4 N 2.04
N  0.5000  0.0000  0.0000  2 Y 2.04

3.
Entry from Alexandria: a PBEsol-optimized structure of EuCdAu2 (meta-GGA SCAN).

Calculated values
ΔH_f (0 K)   -685 meV/atom
Symmetry   Fm-3m, No. 225

a b c (Å): 4.9444 4.9444 4.9444
angles (deg): 60.00 60.00 60.00
Last column: nearest neighbours and their distance in Å.
Sites, in units of the cell vectors:
Au  0.2500  0.2500  0.2500  4 Cd 3.03, 4 Eu 3.03
Cd  0.5000  0.5000  0.5000  8 Au 3.03
Eu  0.0000  0.0000  0.0000  8 Au 3.03
Au  0.7500  0.7500  0.7500  4 Eu 3.03, 4 Cd 3.03

4.
Entry from Alexandria: a PBEsol-optimized structure of Mn2ZnSi (meta-GGA SCAN).

Calculated values
Symmetry   F-43m, No. 216
Formation energy from raw total energies   -0.31 eV per formula unit

a b c (Å): 4.0312 4.0312 4.0312
angles (deg): 60.00 60.00 60.00
Last column: nearest neighbours and their distance in Å.
Sites, in units of the cell vectors:
Si  0.5000  0.5000  0.5000  4 Mn 2.47, 4 Zn 2.47
Mn  0.7500  0.7500  0.7500  4 Mn 2.47, 4 Si 2.47
Mn  0.0000  0.0000  0.0000  4 Mn 2.47, 4 Zn 2.47
Zn  0.2500  0.2500  0.2500  4 Mn 2.47, 4 Si 2.47

5.
Entry from Alexandria: a PBEsol-optimized structure of Sc2Zn2Ag (meta-GGA SCAN).

Calculated values
ΔH_f (0 K)   -377 meV/atom
Symmetry   P4/mbm, No. 127

a b c (Å): 3.6626 6.9937 6.9937
angles (deg): 90.00 90.00 90.00
Last column: nearest neighbours and their distance in Å.
Sites, in units of the cell vectors:
Sc  0.5000  0.3306  0.1694  6 Zn 2.71-2.79
Zn  0.0000  0.8711  0.6289  1 Zn 2.55, 6 Sc 2.71-2.79, 2 Ag 2.75
Zn  0.0000  0.3711  0.8711  1 Zn 2.55, 6 Sc 2.71-2.79, 2 Ag 2.75
Zn  0.0000  0.1289  0.3711  1 Zn 2.55, 6 Sc 2.71-2.79, 2 Ag 2.75
Sc  0.5000  0.8306  0.3306  6 Zn 2.71-2.79
Sc  0.5000  0.1694  0.6694  6 Zn 2.71-2.79
Zn  0.0000  0.6289  0.1289  1 Zn 2.55, 6 Sc 2.71-2.79, 2 Ag 2.75
Ag  0.0000  0.0000  0.0000  4 Zn 2.75
Sc  0.5000  0.6694  0.8306  6 Zn 2.71-2.79
Ag  0.0000  0.5000  0.5000  4 Zn 2.75

6.
Entry from Alexandria: a PBEsol-optimized structure of Li2PdO3 (meta-GGA SCAN).

Calculated values
Symmetry   C2/m, No. 12
Formation energy from raw total energies   -9.03 eV per formula unit

a b c (Å): 5.0502 5.1055 5.0989
angles (deg): 120.04 99.71 70.32
Last column: nearest neighbours and their distance in Å.
Sites, in units of the cell vectors:
O  0.7662  0.0776  0.6520  2 Pd 2.00, 4 Li 2.08-2.15
O  0.7635  0.7311  0.0000  2 Pd 2.01, 4 Li 2.05-2.12
O  0.7662  0.4256  0.3480  2 Pd 2.00, 4 Li 2.08-2.15
Li  0.5000  0.1635  0.3269  6 O 2.08-2.15
Li  0.5000  0.8365  0.6731  6 O 2.08-2.15
O  0.2365  0.2689  0.0000  2 Pd 2.01, 4 Li 2.05-2.12
O  0.2338  0.5744  0.6520  2 Pd 2.00, 4 Li 2.08-2.15
Li  0.5000  0.5000  0.0000  6 O 2.05-2.15
Pd  0.0000  0.6667  0.3335  6 O 2.00-2.01
Li  0.0000  0.0000  0.0000  6 O 2.09-2.10
Pd  0.0000  0.3333  0.6665  6 O 2.00-2.01
O  0.2338  0.9224  0.3480  2 Pd 2.00, 4 Li 2.08-2.15

7.
Entry from Alexandria: a PBEsol-optimized structure of TaReRh2 (meta-GGA SCAN).

Calculated values
ΔH_f (0 K)   -308 meV/atom
Symmetry   Cm, No. 8
ΔE to the lowest computed polymorph   72 meV/atom

a b c (Å): 2.7588 4.7116 4.8048
angles (deg): 99.65 90.00 107.02
Last column: nearest neighbours and their distance in Å.
Sites, in units of the cell vectors:
Rh  0.0025  0.0050  0.0204  3 Re 2.63-2.64, 5 Rh 2.76-2.79, 4 Ta 2.77-2.78
Re  0.7470  0.4940  0.2185  7 Rh 2.63-2.87, 2 Re 2.76, 3 Ta 2.84-2.85
Rh  0.2500  0.5000  0.7426  3 Ta 2.67-2.70, 4 Re 2.67-2.87, 5 Rh 2.76-2.79
Ta  0.5005  0.0010  0.5185  7 Rh 2.67-2.78, 2 Ta 2.76, 3 Re 2.84-2.85

8.
Entry from Alexandria: a PBEsol-optimized structure of YNiOs (meta-GGA SCAN).

Calculated values
ΔH_f (0 K)   305 meV/atom
Symmetry   F-43m, No. 216
ΔE to the lowest computed polymorph   240 meV/atom

a b c (Å): 4.2621 4.2621 4.2621
angles (deg): 60.00 60.00 60.00
Last column: nearest neighbours and their distance in Å.
Sites, in units of the cell vectors:
Y  0.5000  0.5000  0.5000  4 Ni 2.61
Os  0.0000  0.0000  0.0000  4 Ni 2.61
Ni  0.7500  0.7500  0.7500  4 Os 2.61, 4 Y 2.61

9.
Entry from Alexandria: a PBEsol-optimized structure of AlMoSe2N (meta-GGA SCAN).

Calculated values
Symmetry   P4/mmm, No. 123
Formation energy from raw total energies   0.66 eV per formula unit

a b c (Å): 3.7389 5.0185 5.0185
angles (deg): 90.00 90.00 90.00
Last column: nearest neighbours and their distance in Å.
Sites, in units of the cell vectors:
Mo  0.0000  0.0000  0.0000  2 N 1.87
Se  0.0000  0.0000  0.5000  2 Mo 2.51
Se  0.0000  0.5000  0.0000  2 Mo 2.51
Al  0.5000  0.5000  0.5000  8 Se 3.13
N  0.5000  0.0000  0.0000  2 Mo 1.87

10.
Entry from Alexandria: a PBEsol-optimized structure of TiZnN2F (meta-GGA SCAN).

Calculated values
Symmetry   P4/mmm, No. 123
Formation energy from raw total energies   0.26 eV per formula unit

a b c (Å): 3.7039 3.7931 3.7931
angles (deg): 90.00 90.00 90.00
Last column: nearest neighbours and their distance in Å.
Sites, in units of the cell vectors:
N  0.0000  0.0000  0.5000  2 Zn 1.90
F  0.5000  0.0000  0.0000  2 Zn 1.85
Ti  0.5000  0.5000  0.5000  8 N 2.65, 4 F 2.68
N  0.0000  0.5000  0.0000  2 Zn 1.90
Zn  0.0000  0.0000  0.0000  2 F 1.85, 4 N 1.90

11.
Entry from Alexandria: a PBEsol-optimized structure of Ba2YTc (meta-GGA SCAN).

Calculated values
ΔH_f (0 K)   424 meV/atom
Symmetry   Pm, No. 6
ΔE to the lowest computed polymorph   0 meV/atom

a b c (Å): 3.7905 3.9760 9.4368
angles (deg): 90.00 98.90 90.00
Last column: nearest neighbours and their distance in Å.
Sites, in units of the cell vectors:
Tc  0.9105  0.0000  0.5742  4 Y 2.82-2.93, 2 Ba 3.12
Ba  0.0212  0.0000  0.9350  1 Tc 3.36, 4 Y 3.71-3.73
Ba  0.6454  0.5000  0.3256  2 Tc 3.12, 1 Y 3.44
Y  0.4229  0.5000  0.6652  4 Tc 2.82-2.93

12.
Entry from Alexandria: a PBEsol-optimized structure of LaINF2 (meta-GGA SCAN).

Calculated values
Symmetry   P4/mmm, No. 123
Formation energy from raw total energies   -3.30 eV per formula unit

a b c (Å): 4.1129 4.8036 4.8036
angles (deg): 90.00 90.00 90.00
Last column: nearest neighbours and their distance in Å.
Sites, in units of the cell vectors:
I  0.0000  0.0000  0.0000  2 N 2.06
F  0.0000  0.0000  0.5000  2 I 2.40
La  0.5000  0.5000  0.5000  8 F 3.16, 4 N 3.40
N  0.5000  0.0000  0.0000  2 I 2.06
F  0.0000  0.5000  0.0000  2 I 2.40

Record order is preserved below.
Calculated total energy: -514.43, -94.04, -225.18, -60.35, -177.51, -130.56, -206.46, -114.98, -91.42, -51.41, -140.31, -99.52 eV for the cell shown